1.
DFT (PBE-GGA) results for an optimized crystal structure of LiHg2Os.

Summary:
Its energy relative to the lowest polymorph listed for this composition is 156 meV/atom. As for the crystal system: orthorhombic. As for the space group: No. 35.

Cell lengths 2.838, 2.838, 9.983 Å; angles 90.00, 90.00, 115.31 degrees
Atoms (fractional coordinates):
1 Os 0.500 0.500 0.726
2 Hg 0.500 0.500 0.278
3 Li 0.000 0.000 0.517
4 Hg 0.000 0.000 0.979

2.
DFT (PBE-GGA) results for an optimized crystal structure of ErLuPt2.

Summary:
Its energy relative to the lowest polymorph listed for this composition is 135 meV/atom. As for the crystal system: trigonal. As for the space group: No. 166.

Cell lengths 4.016, 4.016, 6.942 Å; angles 73.19, 73.19, 60.00 degrees
Atoms (fractional coordinates):
1 Pt 0.248 0.248 0.255
2 Pt 0.752 0.752 0.745
3 Lu 0.500 0.500 0.500
4 Er 0.000 0.000 0.000